<one>
Entry from Alexandria: a relaxed Li3Mg2Al crystal (PBE-GGA).

Cell: 5.190 7.609 7.609 Å, 120.60 90.00 90.00°
Atoms (fractional coordinates):
Mg: 0.750 0.748 0.495
Mg: 0.250 0.505 0.252
Mg: 0.250 0.252 0.505
Mg: 0.750 0.495 0.748
Li: 0.750 0.282 0.282
Li: 0.500 0.179 0.821
Li: 0.000 0.179 0.821
Li: 0.500 0.821 0.179
Li: 0.250 0.718 0.718
Li: 0.000 0.821 0.179
Al: 0.250 0.077 0.077
Al: 0.750 0.923 0.923

Crystal system: orthorhombic
D(E_F): 0.376 states/eV/atom
Total moment: 0.000 μB/f.u.
Volume: 21.55 Å³/atom
Space-group type: Cmcm (63)


<two>
Entry from Alexandria: a relaxed Li3Mg2Al crystal (PBE-GGA).

Cell: 4.681 7.358 6.689 Å, 90.00 90.00 72.21°
Atoms (fractional coordinates):
Mg: 0.338 0.329 0.500
Mg: 0.000 0.000 0.500
Mg: 0.000 0.000 0.000
Mg: 0.662 0.671 0.500
Al: 0.665 0.666 0.000
Al: 0.335 0.334 0.000
Li: 0.832 0.342 0.769
Li: 0.168 0.658 0.231
Li: 0.500 0.000 0.234
Li: 0.832 0.342 0.231
Li: 0.168 0.658 0.769
Li: 0.500 0.000 0.766

Crystal system: monoclinic
D(E_F): 0.306 states/eV/atom
Total moment: 0.000 μB/f.u.
Volume: 18.28 Å³/atom
Space-group type: P2/m (10)


Decreasing stability: <two>, <one>


<one>
Entry from Alexandria: a relaxed LiMg6AlO8 crystal (PBE-GGA).

Cell: 4.198 4.198 8.489 Å, 90.00 90.00 90.00°
Atoms (fractional coordinates):
Al: 0.000 0.000 0.000
Li: 0.000 0.000 0.500
Mg: 0.000 0.500 0.260
Mg: 0.500 0.000 0.740
Mg: 0.000 0.500 0.740
Mg: 0.500 0.500 0.500
Mg: 0.500 0.500 0.000
Mg: 0.500 0.000 0.260
O: 0.500 0.500 0.753
O: 0.500 0.000 0.000
O: 0.500 0.000 0.500
O: 0.000 0.000 0.783
O: 0.000 0.500 0.000
O: 0.000 0.000 0.217
O: 0.000 0.500 0.500
O: 0.500 0.500 0.247

Crystal system: tetragonal
D(E_F): 0.000 states/eV/atom
Total moment: 0.000 μB/f.u.
Volume: 9.35 Å³/atom
Space-group type: P4/mmm (123)


<two>
Entry from Alexandria: a relaxed LiMg6AlO8 crystal (PBE-GGA).

Cell: 4.174 4.174 8.504 Å, 90.00 90.00 90.00°
Atoms (fractional coordinates):
Li: 0.500 0.500 0.000
O: 0.500 0.500 0.743
O: 0.000 0.000 0.774
O: 0.500 0.500 0.257
O: 0.500 0.000 0.500
O: 0.000 0.000 0.226
O: 0.000 0.500 0.000
O: 0.500 0.000 0.000
O: 0.000 0.500 0.500
Mg: 0.500 0.000 0.757
Mg: 0.500 0.500 0.500
Mg: 0.000 0.000 0.500
Mg: 0.500 0.000 0.243
Mg: 0.000 0.500 0.757
Mg: 0.000 0.500 0.243
Al: 0.000 0.000 0.000

Crystal system: tetragonal
D(E_F): 0.000 states/eV/atom
Total moment: 0.000 μB/f.u.
Volume: 9.26 Å³/atom
Space-group type: P4/mmm (123)


Decreasing stability: <one>, <two>


<one>
Entry from Alexandria: a relaxed LiMnAl4 crystal (PBE-GGA).

Cell: 2.819 4.886 7.053 Å, 99.33 78.47 73.23°
Atoms (fractional coordinates):
Al: 0.695 0.955 0.655
Al: 0.137 0.540 0.185
Al: 0.863 0.460 0.815
Al: 0.305 0.045 0.345
Li: 0.000 0.000 0.000
Mn: 0.500 0.500 0.500

Crystal system: monoclinic
D(E_F): 0.385 states/eV/atom
Total moment: 1.496 μB/f.u.
Volume: 14.77 Å³/atom
Space-group type: C2/m (12)


<two>
Entry from Alexandria: a relaxed LiMnAl4 crystal (PBE-GGA).

Cell: 4.898 7.059 6.649 Å, 114.24 101.25 109.06°
Atoms (fractional coordinates):
Mn: 0.752 0.002 0.005
Mn: 0.248 0.998 0.995
Al: 0.373 0.928 0.634
Al: 0.036 0.185 0.794
Al: 0.258 0.609 0.794
Al: 0.761 0.706 0.634
Al: 0.742 0.391 0.206
Al: 0.964 0.815 0.206
Al: 0.627 0.072 0.366
Al: 0.239 0.294 0.366
Li: 0.349 0.599 0.198
Li: 0.651 0.401 0.802

Crystal system: monoclinic
D(E_F): 0.542 states/eV/atom
Total moment: 0.001 μB/f.u.
Volume: 15.26 Å³/atom
Space-group type: C2/c (15)


Decreasing stability: <one>, <two>


<one>
Entry from Alexandria: a relaxed LiMn2Al2 crystal (PBE-GGA).

Cell: 7.311 7.311 2.803 Å, 90.00 90.00 90.00°
Atoms (fractional coordinates):
Li: 0.000 0.000 0.000
Li: 0.500 0.500 0.000
Al: 0.634 0.134 0.000
Al: 0.366 0.866 0.000
Al: 0.134 0.366 0.000
Al: 0.866 0.634 0.000
Mn: 0.162 0.662 0.500
Mn: 0.838 0.338 0.500
Mn: 0.662 0.838 0.500
Mn: 0.338 0.162 0.500

Crystal system: tetragonal
D(E_F): 0.720 states/eV/atom
Total moment: 5.663 μB/f.u.
Volume: 14.98 Å³/atom
Space-group type: P4/mbm (127)


<two>
Entry from Alexandria: a relaxed LiMn2Al2 crystal (PBE-GGA).

Cell: 7.296 7.296 2.641 Å, 90.00 90.00 90.00°
Atoms (fractional coordinates):
Al: 0.811 0.311 0.500
Al: 0.689 0.811 0.500
Al: 0.311 0.189 0.500
Al: 0.189 0.689 0.500
Mn: 0.900 0.600 0.000
Mn: 0.400 0.900 0.000
Mn: 0.600 0.100 0.000
Mn: 0.100 0.400 0.000
Li: 0.000 0.000 0.000
Li: 0.500 0.500 0.000

Crystal system: tetragonal
D(E_F): 0.548 states/eV/atom
Total moment: 0.107 μB/f.u.
Volume: 14.06 Å³/atom
Space-group type: P4/mbm (127)


Decreasing stability: <one>, <two>